No. 1
Here is a geometry-optimized Sm4SnPbSe2 structure from Alexandria via LeMat-Bulk. Energies are from PBE.

DOS(E_F) in states/eV per cell: 3.61
Raw formation energy in eV/atom: -1.212

Geometry as CIF:
```
data_Sm4SnPbSe2
_chemical_formula_sum 'Sm4 Sn1 Pb1 Se2'
_cell_length_a 7.4803
_cell_length_b 4.3226
_cell_length_c 7.6169
_cell_angle_alpha 90.00
_cell_angle_beta 109.08
_cell_angle_gamma 90.00
_symmetry_space_group_name_H-M 'P 1 2/m 1'
_symmetry_Int_Tables_number 10
loop_
_symmetry_equiv_pos_as_xyz
'x,y,z'
'-x,-y,-z'
'-x,y,-z'
'x,-y,z'
loop_
_atom_site_label
_atom_site_type_symbol
_atom_site_fract_x
_atom_site_fract_y
_atom_site_fract_z
Sm1 Sm 0.2440 0.0000 0.2375
Sm2 Sm 0.2510 0.5000 0.7604
Sn1 Sn 0.0000 0.0000 0.5000
Pb1 Pb 0.5000 0.5000 0.5000
Se1 Se 0.0000 0.5000 0.0000
Se2 Se 0.5000 0.0000 0.0000
```

***

No. 2
Here is a geometry-optimized HoThRe structure from Alexandria via LeMat-Bulk. Energies are from PBE.

Offset from the most stable computed form in eV per atom: 0.000
DOS(E_F) in states/eV per cell: 28.24
ΔH_f (0 K) in eV per formula unit: 0.03

Geometry as CIF:
```
data_HoThRe
_chemical_formula_sum 'Ho8 Th8 Re8'
_cell_length_a 6.3560
_cell_length_b 9.5574
_cell_length_c 10.1498
_cell_angle_alpha 90.00
_cell_angle_beta 90.00
_cell_angle_gamma 90.00
_symmetry_space_group_name_H-M 'F m m m'
_symmetry_Int_Tables_number 69
_symmetry_space_group_name_Hall '-F 2 2'
loop_
_atom_site_label
_atom_site_type_symbol
_atom_site_fract_x
_atom_site_fract_y
_atom_site_fract_z
Ho1 Ho 0.0000 0.1810 0.0000
Th1 Th 0.0000 0.0000 0.3167
Re1 Re 0.2500 0.2500 0.2500
```

***

No. 3
Here is a geometry-optimized NiAgP2 structure from Alexandria via LeMat-Bulk. Energies are from PBE.

Offset from the most stable computed form in eV per atom: 0.067
DOS(E_F) in states/eV per cell: 1.62
ΔH_f (0 K) in eV per formula unit: -0.04

Geometry as CIF:
```
data_NiAgP2
_chemical_formula_sum 'Ni2 Ag2 P4'
_cell_length_a 3.2407
_cell_length_b 3.2407
_cell_length_c 14.8732
_cell_angle_alpha 90.00
_cell_angle_beta 90.00
_cell_angle_gamma 120.00
_symmetry_space_group_name_H-M 'P 63/m m c'
_symmetry_Int_Tables_number 194
_symmetry_space_group_name_Hall '-P 6c 2c'
loop_
_atom_site_label
_atom_site_type_symbol
_atom_site_fract_x
_atom_site_fract_y
_atom_site_fract_z
Ni1 Ni 0.0000 0.0000 0.0000
Ag1 Ag 0.3333 0.6667 0.2500
P1 P 0.3333 0.6667 0.0854
```

***

No. 4
Here is a geometry-optimized KBe2PdF8 structure from Alexandria via LeMat-Bulk. Energies are from PBE.

DOS(E_F) in states/eV per cell: 0.69
Raw formation energy in eV/atom: -2.505

Geometry as CIF:
```
data_KBe2PdF8
_chemical_formula_sum 'K2 Be4 Pd2 F16'
_cell_length_a 7.9613
_cell_length_b 5.4432
_cell_length_c 7.9699
_cell_angle_alpha 90.00
_cell_angle_beta 96.21
_cell_angle_gamma 90.00
_symmetry_space_group_name_H-M 'C 1 2/m 1'
_symmetry_Int_Tables_number 12
loop_
_symmetry_equiv_pos_as_xyz
'x,y,z'
'-x,-y,-z'
'-x,y,-z'
'x,-y,z'
'x+1/2,y+1/2,z'
'-x+1/2,-y+1/2,-z'
'-x+1/2,y+1/2,-z'
'x+1/2,-y+1/2,z'
loop_
_atom_site_label
_atom_site_type_symbol
_atom_site_fract_x
_atom_site_fract_y
_atom_site_fract_z
K1 K 0.0000 0.0000 0.0000
Be1 Be 0.1219 0.5000 0.2853
Pd1 Pd 0.0000 0.0000 0.5000
F1 F 0.0102 0.2628 0.3053
F2 F 0.1940 0.5000 0.1217
F3 F 0.2463 0.0000 0.5420
```

***

No. 5
Here is a geometry-optimized YTh2Ni2 structure from Alexandria via LeMat-Bulk. Energies are from PBE.

Offset from the most stable computed form in eV per atom: 0.000
DOS(E_F) in states/eV per cell: 11.31
ΔH_f (0 K) in eV per formula unit: -1.67

Geometry as CIF:
```
data_YTh2Ni2
_chemical_formula_sum 'Y2 Th4 Ni4'
_cell_length_a 7.8339
_cell_length_b 7.8339
_cell_length_c 3.7537
_cell_angle_alpha 90.00
_cell_angle_beta 90.00
_cell_angle_gamma 90.00
_symmetry_space_group_name_H-M 'P 4/m b m'
_symmetry_Int_Tables_number 127
_symmetry_space_group_name_Hall '-P 4 2ab'
loop_
_atom_site_label
_atom_site_type_symbol
_atom_site_fract_x
_atom_site_fract_y
_atom_site_fract_z
Y1 Y 0.0000 0.0000 0.0000
Th1 Th 0.1660 0.3340 0.5000
Ni1 Ni 0.1234 0.6234 0.0000
```

***

No. 6
Here is a geometry-optimized Pu4Tc3Ru structure from Alexandria via LeMat-Bulk. Energies are from PBE.

DOS(E_F) in states/eV per cell: 19.90
ΔH_f (0 K) in eV per formula unit: 0.75

Geometry as CIF:
```
data_Pu4Tc3Ru
_chemical_formula_sum 'Pu4 Tc3 Ru1'
_cell_length_a 3.4026
_cell_length_b 4.7317
_cell_length_c 9.4535
_cell_angle_alpha 90.00
_cell_angle_beta 90.00
_cell_angle_gamma 90.00
_symmetry_space_group_name_H-M 'P m m m'
_symmetry_Int_Tables_number 47
loop_
_symmetry_equiv_pos_as_xyz
'x,y,z'
'-x,-y,-z'
'-x,-y,z'
'x,y,-z'
'x,-y,-z'
'-x,y,z'
'-x,y,-z'
'x,-y,z'
loop_
_atom_site_label
_atom_site_type_symbol
_atom_site_fract_x
_atom_site_fract_y
_atom_site_fract_z
Pu1 Pu 0.0000 0.0000 0.0000
Pu2 Pu 0.0000 0.0000 0.5000
Pu3 Pu 0.0000 0.5000 0.2489
Tc1 Tc 0.5000 0.0000 0.2539
Tc2 Tc 0.5000 0.5000 0.5000
Ru1 Ru 0.5000 0.5000 0.0000
```

***

Q: DOS(E_F) of number 5 (YTh2Ni2)?
A: 11.31 states/eV per cell